No. 1
Entry from the Alexandria database: a geometry-optimized HAuN2F structure (PBE).

Cell lengths 3.213, 3.213, 4.753 Å; angles 90.00, 90.00, 90.00 degrees
Fractional positions:
H: 0.000 0.000 0.000
Au: 0.500 0.500 0.500
N: 0.000 0.500 0.000
N: 0.500 0.000 0.000
F: 0.000 0.000 0.500

energy above the most stable polymorph in this dataset	0	meV per atom
space group	P4/mmm, No. 123



No. 2
Entry from the Alexandria database: a geometry-optimized Ba12Sr3Cd structure (PBE).

Cell lengths 6.285, 6.285, 23.718 Å; angles 90.00, 90.00, 90.00 degrees
Fractional positions:
Ba: 0.000 0.000 0.000
Ba: 0.000 0.000 0.233
Ba: 0.000 0.000 0.500
Ba: 0.000 0.000 0.767
Ba: 0.000 0.500 0.102
Ba: 0.000 0.500 0.368
Ba: 0.000 0.500 0.632
Ba: 0.000 0.500 0.898
Ba: 0.500 0.000 0.102
Ba: 0.500 0.000 0.368
Ba: 0.500 0.000 0.632
Ba: 0.500 0.000 0.898
Sr: 0.500 0.500 0.237
Sr: 0.500 0.500 0.500
Sr: 0.500 0.500 0.763
Cd: 0.500 0.500 0.000

energy of formation from the pure elements	0.0076	eV per atom
space group	P4/mmm, No. 123



No. 3
Entry from the Alexandria database: a geometry-optimized Ca3Ag2Au4 structure (PBE).

Cell lengths 5.934, 5.934, 8.984 Å; angles 113.40, 113.40, 47.30 degrees
Fractional positions:
Ca: 0.000 0.000 0.000
Ca: 0.346 0.346 0.318
Ca: 0.654 0.654 0.682
Ag: 0.361 0.361 0.694
Ag: 0.639 0.639 0.306
Au: 0.072 0.072 0.404
Au: 0.281 0.281 0.944
Au: 0.719 0.719 0.056
Au: 0.928 0.928 0.596

energy of formation from the pure elements	-0.5804	eV per atom
space group	C2/m, No. 12